Compound: TiTlGa2
Source: Alexandria via LeMat-Bulk
Functional: PBE
Structure: optimized geometry

The value obtained for the distance to the lowest polymorph of the same formula is 1.46 kcal/mol of atoms. As for the symmetry: Fm-3m (225). The energy relative to the elements is 286 meV/atom.

Cell lengths 4.8773, 4.8773, 4.8773 Å; angles 60.00, 60.00, 60.00 degrees
Last column: nearest neighbours and their distance in Å.
Positions (direct):
Tl: 0.5000 0.5000 0.5000  8 Ga 2.99
Ga: 0.7500 0.7500 0.7500  4 Tl 2.99, 4 Ti 2.99
Ga: 0.2500 0.2500 0.2500  4 Tl 2.99, 4 Ti 2.99
Ti: 0.0000 0.0000 0.0000  8 Ga 2.99

***

Compound: LiFe2Te
Source: Alexandria via LeMat-Bulk
Functional: PBE
Structure: optimized geometry

As for the symmetry: P4mm (99). The formation energy from raw total energies comes out at 0.1574 eV/atom.

Cell lengths 3.3312, 3.3375, 5.6219 Å; angles 90.00, 90.00, 90.00 degrees
Last column: nearest neighbours and their distance in Å.
Positions (direct):
Fe: 0.0000 0.0000 0.0344  1 Li 2.54, 4 Fe 2.60, 4 Te 2.84
Fe: 0.5000 0.5000 0.2276  4 Fe 2.60, 1 Te 2.67, 4 Li 2.77
Li: 0.0000 0.0000 0.4857  5 Fe 2.54-2.77, 4 Te 2.79
Te: 0.5000 0.5000 0.7523  6 Fe 2.67-2.95, 4 Li 2.79

***

Compound: Pu2TlTe4
Source: Alexandria via LeMat-Bulk
Functional: PBE
Structure: optimized geometry

As for the symmetry: Imma (74). The formation energy from raw total energies comes out at -0.7405 eV/atom.

Cell lengths 9.2697, 9.2701, 9.2723 Å; angles 119.81, 119.86, 90.26 degrees
Last column: nearest neighbours and their distance in Å.
Positions (direct):
Te: 0.8595 0.1382 0.7210  3 Pu 3.11, 1 Tl 3.16
Te: 0.3885 0.1672 0.7790  3 Pu 3.11, 1 Tl 3.16
Te: 0.3905 0.6118 0.7790  3 Pu 3.11, 1 Tl 3.16
Te: 0.8618 0.1406 0.2790  3 Pu 3.11, 1 Tl 3.16
Te: 0.4171 0.1385 0.2789  3 Pu 3.11, 1 Tl 3.16
Te: 0.8329 0.6115 0.2211  3 Pu 3.11, 1 Tl 3.16
Te: 0.3882 0.6094 0.2210  3 Pu 3.11, 1 Tl 3.16
Te: 0.8615 0.5828 0.7210  3 Pu 3.11, 1 Tl 3.16
Pu: 0.6250 0.3750 0.2500  6 Te 3.11
Pu: 0.1250 0.3750 0.7500  6 Te 3.11
Pu: 0.6250 0.3750 0.7500  6 Te 3.11
Pu: 0.6250 0.8750 0.2500  6 Te 3.11
Tl: 0.9997 0.9998 0.0000  4 Te 3.16
Tl: 0.2503 0.7502 0.5000  4 Te 3.16

***

Compound: Tm4Bi2C
Source: Alexandria via LeMat-Bulk
Functional: PBE
Structure: optimized geometry

The value obtained for the distance to the lowest polymorph of the same formula is 3.26 kcal/mol of atoms. As for the symmetry: P2_1/m (11). The energy relative to the elements is -483 meV/atom.

Cell lengths 6.9316, 6.6806, 8.6825 Å; angles 90.00, 108.19, 90.00 degrees
Last column: nearest neighbours and their distance in Å.
Positions (direct):
Bi: 0.2090 0.2500 0.4211  8 Tm 3.22-3.43
Bi: 0.2723 0.2500 0.9527  8 Tm 3.12-3.47
Bi: 0.7910 0.7500 0.5789  8 Tm 3.22-3.43
Bi: 0.7277 0.7500 0.0473  8 Tm 3.12-3.47
Tm: 0.4941 0.0016 0.7287  1 C 2.19
Tm: 0.5059 0.5016 0.2713  1 C 2.19
Tm: 0.1307 0.7500 0.9378  1 C 2.22
Tm: 0.0958 0.7500 0.3649  1 C 2.23
Tm: 0.8693 0.2500 0.0622  1 C 2.22
Tm: 0.5059 0.9984 0.2713  1 C 2.19
Tm: 0.9042 0.2500 0.6351  1 C 2.23
Tm: 0.4941 0.4984 0.7287  1 C 2.19
C: 0.7102 0.2500 0.7971  4 Tm 2.19-2.23
C: 0.2898 0.7500 0.2029  4 Tm 2.19-2.23

***

Compound: LiTbGa
Source: Alexandria via LeMat-Bulk
Functional: PBE
Structure: optimized geometry

The value obtained for the distance to the lowest polymorph of the same formula is 4.19 kcal/mol of atoms. As for the symmetry: I4mm (107). The energy relative to the elements is -221 meV/atom.

Cell lengths 3.4682, 3.4682, 5.8976 Å; angles 107.10, 107.10, 90.00 degrees
Last column: nearest neighbours and their distance in Å.
Positions (direct):
Ga: 0.5958 0.5958 0.1916  4 Li 2.75
Li: 0.9806 0.9806 0.9612  4 Ga 2.75
Tb: 0.2736 0.2736 0.5471  5 Ga 3.11-3.46, 5 Li 3.14-3.31, 4 Tb 3.47

***

Compound: K3ErAs2O8
Source: Alexandria via LeMat-Bulk
Functional: PBE
Structure: optimized geometry

As for the symmetry: P-3m1 (164). The formation energy from raw total energies comes out at -2.0235 eV/atom.

Cell lengths 5.9005, 5.9005, 7.7131 Å; angles 90.00, 90.00, 120.00 degrees
Last column: nearest neighbours and their distance in Å.
Positions (direct):
As: 0.3333 0.6667 0.2445  4 O 1.67-1.74
As: 0.6667 0.3333 0.7555  4 O 1.67-1.74
O: 0.1759 0.3517 0.3293  1 As 1.74
O: 0.3517 0.1759 0.6707  1 As 1.74
O: 0.8241 0.6483 0.6707  1 As 1.74
O: 0.8241 0.1759 0.6707  1 As 1.74
O: 0.6667 0.3333 0.9726  1 As 1.67
O: 0.1759 0.8241 0.3293  1 As 1.74
O: 0.3333 0.6667 0.0274  1 As 1.67
O: 0.6483 0.8241 0.3293  1 As 1.74
K: 0.3333 0.6667 0.6973  1 O 2.55
K: 0.0000 0.0000 0.0000  12 O 3.11-3.41
K: 0.6667 0.3333 0.3027  1 O 2.55
Er: 0.0000 0.0000 0.5000  6 O 2.23